VASP calculation (PBE+U) on crystalline Li2Mn3FeO8 at its relaxed geometry.

The structure in CIF format:
```
data_Li2Mn3FeO8
_cell_length_a 5.9388
_cell_length_b 5.9388
_cell_length_c 14.1568
_cell_angle_alpha 90.00
_cell_angle_beta 90.00
_cell_angle_gamma 120.00
_symmetry_space_group_name_H-M 'R -3 m'
_symmetry_Int_Tables_number 166
_symmetry_space_group_name_Hall '-R 3 2"'
loop_
_atom_site_label
_atom_site_type_symbol
_atom_site_fract_x
_atom_site_fract_y
_atom_site_fract_z
Li1 Li 0.0000 0.0000 0.1215
Mn1 Mn 0.0000 0.5000 0.0000
Fe1 Fe 0.0000 0.0000 0.5000
O1 O 0.0000 0.0000 0.2597
O2 O 0.0372 0.5186 0.2556
```

Output
E_tot: -278.8 eV/cell
DOS(E_F): 11.70 states/eV per cell
Calculated density: 4.18 Mg/m³